No. 1
Crystalline Mn2BPd at its relaxed geometry. Source: Alexandria, functional PBE-GGA.

a b c (Å): 8.765 8.765 8.765
angles (deg): 158.20 158.20 31.03
Fractional positions:
Mn 0.058 0.625 0.933
Mn 0.375 0.308 0.433
Mn 0.692 0.125 0.067
Mn 0.875 0.942 0.567
B 0.000 0.000 0.000
B 0.750 0.250 0.500
Pd 0.250 0.750 0.500
Pd 0.500 0.500 0.000

Properties
The calculation puts the energy relative to the elements at 0.571 eV per atom. As for the density of states at the Fermi level: 4.73 states/eV/f.u.

No. 2
Crystalline Mn2BPd8 at its relaxed geometry. Source: Alexandria, functional PBE-GGA.

a b c (Å): 7.351 7.351 5.552
angles (deg): 112.13 112.13 35.97
Fractional positions:
Mn 0.190 0.190 0.190
Mn 0.810 0.810 0.810
B 0.500 0.500 0.500
Pd 0.000 0.000 0.249
Pd 0.000 0.000 0.751
Pd 0.189 0.189 0.690
Pd 0.378 0.378 0.630
Pd 0.379 0.379 0.125
Pd 0.621 0.621 0.875
Pd 0.622 0.622 0.370
Pd 0.811 0.811 0.310

Properties
The calculation puts the energy relative to the elements at -0.163 eV per atom. As for the density of states at the Fermi level: 7.87 states/eV/f.u.

No. 3
Crystalline MnBPd5 at its relaxed geometry. Source: Alexandria, functional PBE-GGA.

a b c (Å): 5.874 5.874 8.324
angles (deg): 116.17 116.17 72.93
Fractional positions:
Mn 0.180 0.820 0.750
Mn 0.820 0.180 0.250
B 0.500 0.500 0.000
B 0.500 0.500 0.500
Pd 0.075 0.774 0.024
Pd 0.210 0.292 0.814
Pd 0.226 0.925 0.476
Pd 0.292 0.210 0.314
Pd 0.453 0.547 0.250
Pd 0.547 0.453 0.750
Pd 0.708 0.790 0.686
Pd 0.774 0.075 0.524
Pd 0.790 0.708 0.186
Pd 0.925 0.226 0.976

Properties
The calculation puts the energy relative to the elements at 0.121 eV per atom. As for the density of states at the Fermi level: 3.36 states/eV/f.u.

No. 4
Crystalline MnBPd3 at its relaxed geometry. Source: Alexandria, functional PBE-GGA.

a b c (Å): 4.174 4.174 4.174
angles (deg): 90.00 90.00 90.00
Fractional positions:
Mn 0.000 0.000 0.000
B 0.500 0.500 0.500
Pd 0.000 0.500 0.500
Pd 0.500 0.000 0.500
Pd 0.500 0.500 0.000

Properties
The calculation puts the energy relative to the elements at -0.136 eV per atom. As for the density of states at the Fermi level: 4.70 states/eV/f.u.

No. 5
Crystalline MnB3Pd at its relaxed geometry. Source: Alexandria, functional PBE-GGA.

a b c (Å): 3.979 3.979 3.979
angles (deg): 90.00 90.00 90.00
Fractional positions:
Mn 0.000 0.000 0.000
B 0.000 0.500 0.500
B 0.500 0.000 0.500
B 0.500 0.500 0.000
Pd 0.500 0.500 0.500

Properties
The calculation puts the energy relative to the elements at 1.865 eV per atom. As for the density of states at the Fermi level: 8.77 states/eV/f.u.

No. 6
Crystalline Pm2MnBPd6 at its relaxed geometry. Source: Alexandria, functional PBE-GGA.

a b c (Å): 5.754 5.754 7.260
angles (deg): 113.42 113.42 59.97
Fractional positions:
Pm 0.221 0.221 0.164
Pm 0.779 0.779 0.836
Mn 0.500 0.500 0.000
B 0.000 0.000 0.500
Pd 0.234 0.234 0.687
Pd 0.234 0.722 0.688
Pd 0.278 0.766 0.312
Pd 0.722 0.234 0.688
Pd 0.766 0.278 0.312
Pd 0.766 0.766 0.313

Properties
The calculation puts the energy relative to the elements at -0.540 eV per atom. As for the density of states at the Fermi level: 5.01 states/eV/f.u.

No. 7
Crystalline RbMnB2Pd at its relaxed geometry. Source: Alexandria, functional PBE-GGA.

a b c (Å): 4.628 4.628 5.306
angles (deg): 90.00 90.00 90.00
Fractional positions:
Rb 0.000 0.000 0.000
Mn 0.000 0.000 0.500
B 0.000 0.500 0.000
B 0.500 0.000 0.000
Pd 0.500 0.500 0.500

Properties
The calculation puts the energy relative to the elements at 3.075 eV per atom. As for the density of states at the Fermi level: 3.54 states/eV/f.u.

No. 8
Crystalline MnBPdRh2 at its relaxed geometry. Source: Alexandria, functional PBE-GGA.

a b c (Å): 4.374 4.374 4.596
angles (deg): 90.00 90.00 90.00
Fractional positions:
Mn 0.000 0.000 0.000
B 0.500 0.500 0.500
Pd 0.000 0.000 0.500
Rh 0.000 0.500 0.000
Rh 0.500 0.000 0.000

Properties
The calculation puts the energy relative to the elements at 1.708 eV per atom. As for the density of states at the Fermi level: 5.20 states/eV/f.u.

No. 9
Crystalline Mn2B2PdRh5 at its relaxed geometry. Source: Alexandria, functional PBE-GGA.

a b c (Å): 9.544 9.544 2.904
angles (deg): 90.00 90.00 90.00
Fractional positions:
Mn 0.179 0.321 0.000
Mn 0.321 0.821 0.000
Mn 0.679 0.179 0.000
Mn 0.821 0.679 0.000
B 0.125 0.625 0.000
B 0.375 0.125 0.000
B 0.625 0.875 0.000
B 0.875 0.375 0.000
Pd 0.000 0.000 0.000
Pd 0.500 0.500 0.000
Rh 0.000 0.500 0.500
Rh 0.070 0.776 0.500
Rh 0.224 0.070 0.500
Rh 0.276 0.570 0.500
Rh 0.430 0.276 0.500
Rh 0.500 0.000 0.500
Rh 0.570 0.724 0.500
Rh 0.724 0.430 0.500
Rh 0.776 0.930 0.500
Rh 0.930 0.224 0.500

Properties
The calculation puts the energy relative to the elements at -0.198 eV per atom. As for the density of states at the Fermi level: 8.85 states/eV/f.u.

No. 10
Crystalline Mn2SiBPd at its relaxed geometry. Source: Alexandria, functional PBE-GGA.

a b c (Å): 4.887 4.887 4.424
angles (deg): 90.00 90.00 90.00
Fractional positions:
Mn 0.000 0.500 0.000
Mn 0.500 0.000 0.000
Si 0.000 0.000 0.500
B 0.500 0.500 0.500
Pd 0.000 0.000 0.000

Properties
As for the density of states at the Fermi level: 2.69 states/eV/f.u.

No. 11
Crystalline Mn2TcBPd at its relaxed geometry. Source: Alexandria, functional PBE-GGA.

a b c (Å): 4.744 4.744 4.763
angles (deg): 90.00 90.00 90.00
Fractional positions:
Mn 0.000 0.500 0.000
Mn 0.500 0.000 0.000
Tc 0.000 0.000 0.500
B 0.500 0.500 0.500
Pd 0.000 0.000 0.000

Properties
The calculation puts the energy relative to the elements at 2.104 eV per atom. As for the density of states at the Fermi level: 5.93 states/eV/f.u.

No. 12
Crystalline MnBPd2W at its relaxed geometry. Source: Alexandria, functional PBE-GGA.

a b c (Å): 4.852 4.852 4.497
angles (deg): 90.00 90.00 90.00
Fractional positions:
Mn 0.000 0.000 0.000
B 0.500 0.500 0.000
Pd 0.000 0.500 0.500
Pd 0.500 0.000 0.500
W 0.000 0.000 0.500

Properties
The calculation puts the energy relative to the elements at 2.062 eV per atom. As for the density of states at the Fermi level: 3.93 states/eV/f.u.

No. 13
Crystalline PmMnB4 at its relaxed geometry. Source: Alexandria, functional PBE-GGA.

a b c (Å): 5.995 11.600 3.484
angles (deg): 90.00 90.00 90.00
Fractional positions:
Pm 0.124 0.151 0.000
Pm 0.376 0.651 0.000
Pm 0.624 0.349 0.000
Pm 0.876 0.849 0.000
Mn 0.126 0.417 0.000
Mn 0.374 0.917 0.000
Mn 0.626 0.083 0.000
Mn 0.874 0.583 0.000
B 0.025 0.689 0.500
B 0.111 0.545 0.500
B 0.141 0.967 0.500
B 0.223 0.818 0.500
B 0.277 0.318 0.500
B 0.359 0.467 0.500
B 0.389 0.045 0.500
B 0.475 0.189 0.500
B 0.525 0.811 0.500
B 0.611 0.955 0.500
B 0.641 0.533 0.500
B 0.723 0.682 0.500
B 0.777 0.182 0.500
B 0.859 0.033 0.500
B 0.889 0.455 0.500
B 0.975 0.311 0.500

Properties
The calculation puts the energy relative to the elements at -0.544 eV per atom. As for the density of states at the Fermi level: 1.29 states/eV/f.u.

No. 14
Crystalline PmMnB14 at its relaxed geometry. Source: Alexandria, functional PBE-GGA.

a b c (Å): 7.416 7.416 7.416
angles (deg): 133.48 86.50 111.90
Fractional positions:
Pm 0.378 0.128 0.250
Pm 0.622 0.872 0.750
Mn 0.000 0.000 0.500
Mn 0.000 0.500 0.000
B 0.005 0.133 0.872
B 0.029 0.204 0.329
B 0.029 0.701 0.826
B 0.085 0.669 0.416
B 0.197 0.531 0.666
B 0.221 0.500 0.400
B 0.221 0.821 0.721
B 0.239 0.867 0.372
B 0.248 0.331 0.916
B 0.365 0.531 0.834
B 0.375 0.204 0.674
B 0.375 0.701 0.171
B 0.400 0.179 0.900
B 0.400 0.500 0.221
B 0.600 0.500 0.779
B 0.600 0.821 0.100
B 0.625 0.299 0.829
B 0.625 0.796 0.326
B 0.635 0.469 0.166
B 0.752 0.669 0.084
B 0.761 0.133 0.628
B 0.779 0.179 0.279
B 0.779 0.500 0.600
B 0.803 0.469 0.334
B 0.915 0.331 0.584
B 0.971 0.299 0.174
B 0.971 0.796 0.671
B 0.995 0.867 0.128

Properties
The calculation puts the energy relative to the elements at -0.162 eV per atom. As for the density of states at the Fermi level: 3.06 states/eV/f.u.

No. 15
Crystalline Pm3MnB7 at its relaxed geometry. Source: Alexandria, functional PBE-GGA.

a b c (Å): 8.289 8.289 9.535
angles (deg): 90.00 90.00 155.56
Fractional positions:
Pm 0.103 0.897 0.561
Pm 0.103 0.897 0.939
Pm 0.242 0.758 0.250
Pm 0.758 0.242 0.750
Pm 0.897 0.103 0.061
Pm 0.897 0.103 0.439
Mn 0.056 0.944 0.250
Mn 0.944 0.056 0.750
B 0.273 0.727 0.531
B 0.273 0.727 0.969
B 0.370 0.630 0.654
B 0.370 0.630 0.846
B 0.466 0.534 0.250
B 0.475 0.525 0.603
B 0.475 0.525 0.897
B 0.525 0.475 0.103
B 0.525 0.475 0.397
B 0.534 0.466 0.750
B 0.630 0.370 0.154
B 0.630 0.370 0.346
B 0.727 0.273 0.031
B 0.727 0.273 0.469

Properties
The calculation puts the energy relative to the elements at -0.436 eV per atom. As for the density of states at the Fermi level: 5.21 states/eV/f.u.

No. 16
Crystalline Pm3Mn2B9 at its relaxed geometry. Source: Alexandria, functional PBE-GGA.

a b c (Å): 8.002 8.002 8.002
angles (deg): 157.54 119.90 65.00
Fractional positions:
Pm 0.000 0.000 0.000
Pm 0.260 0.260 0.000
Pm 0.740 0.740 0.000
Mn 0.341 0.500 0.841
Mn 0.659 0.500 0.159
B 0.078 0.372 0.706
B 0.162 0.887 0.275
B 0.334 0.628 0.706
B 0.388 0.113 0.275
B 0.500 0.000 0.500
B 0.612 0.887 0.725
B 0.666 0.372 0.294
B 0.838 0.113 0.725
B 0.922 0.628 0.294

Properties
The calculation puts the energy relative to the elements at -0.237 eV per atom. As for the density of states at the Fermi level: 6.51 states/eV/f.u.

No. 17
Crystalline Pm3MnB2Pt9 at its relaxed geometry. Source: Alexandria, functional PBE-GGA.

a b c (Å): 5.792 5.792 9.298
angles (deg): 90.00 90.00 120.00
Fractional positions:
Pm 0.000 0.000 0.000
Pm 0.333 0.667 0.605
Pm 0.667 0.333 0.395
Mn 0.000 0.000 0.500
B 0.333 0.667 0.148
B 0.667 0.333 0.852
Pt 0.000 0.500 0.000
Pt 0.165 0.329 0.286
Pt 0.165 0.835 0.286
Pt 0.329 0.165 0.714
Pt 0.500 0.000 0.000
Pt 0.500 0.500 0.000
Pt 0.671 0.835 0.286
Pt 0.835 0.165 0.714
Pt 0.835 0.671 0.714

Properties
The calculation puts the energy relative to the elements at -0.776 eV per atom. As for the density of states at the Fermi level: 2.86 states/eV/f.u.

No. 18
Crystalline Pm2MnB3Pt12 at its relaxed geometry. Source: Alexandria, functional PBE-GGA.

a b c (Å): 7.423 7.423 7.423
angles (deg): 64.49 64.49 64.49
Fractional positions:
Pm 0.104 0.104 0.104
Pm 0.896 0.896 0.896
Mn 0.500 0.500 0.500
B 0.000 0.500 0.500
B 0.500 0.000 0.500
B 0.500 0.500 0.000
Pt 0.118 0.623 0.623
Pt 0.174 0.174 0.588
Pt 0.174 0.588 0.174
Pt 0.377 0.377 0.882
Pt 0.377 0.882 0.377
Pt 0.412 0.826 0.826
Pt 0.588 0.174 0.174
Pt 0.623 0.118 0.623
Pt 0.623 0.623 0.118
Pt 0.826 0.412 0.826
Pt 0.826 0.826 0.412
Pt 0.882 0.377 0.377

Properties
The calculation puts the energy relative to the elements at -0.411 eV per atom. As for the density of states at the Fermi level: 7.95 states/eV/f.u.

No. 19
Crystalline PrMnB at its relaxed geometry. Source: Alexandria, functional PBE-GGA.

a b c (Å): 3.589 3.589 8.527
angles (deg): 90.00 90.00 90.00
Fractional positions:
Pr 0.250 0.250 0.202
Pr 0.750 0.750 0.798
Mn 0.250 0.750 0.500
Mn 0.750 0.250 0.500
B 0.250 0.250 0.628
B 0.750 0.750 0.372

Properties
The calculation puts the energy relative to the elements at -0.205 eV per atom. As for the density of states at the Fermi level: 3.19 states/eV/f.u.

No. 20
Crystalline Pr2MnB3Pt12 at its relaxed geometry. Source: Alexandria, functional PBE-GGA.

a b c (Å): 7.463 7.463 7.463
angles (deg): 64.20 64.20 64.20
Fractional positions:
Pr 0.105 0.105 0.105
Pr 0.895 0.895 0.895
Mn 0.500 0.500 0.500
B 0.000 0.500 0.500
B 0.500 0.000 0.500
B 0.500 0.500 0.000
Pt 0.120 0.620 0.620
Pt 0.176 0.176 0.586
Pt 0.176 0.586 0.176
Pt 0.380 0.380 0.880
Pt 0.380 0.880 0.380
Pt 0.414 0.824 0.824
Pt 0.586 0.176 0.176
Pt 0.620 0.120 0.620
Pt 0.620 0.620 0.120
Pt 0.824 0.414 0.824
Pt 0.824 0.824 0.414
Pt 0.880 0.380 0.380

Properties
The calculation puts the energy relative to the elements at -0.408 eV per atom. As for the density of states at the Fermi level: 8.21 states/eV/f.u.

Results for V: 92.8 161.8 229.6 72.7 63.0 184.9 113.6 87.9 264.5 105.7 107.2 105.9 242.3 262.8 271.1 168.6 270.1 317.6 109.8 321.0 (in Å³ per cell, following the order of the records).
Results for VASP energy: -55.854 -68.356 -81.923 -32.107 -25.068 -61.903 -13.309 -27.200 -151.239 -28.676 -30.054 -28.877 -175.572 -219.999 -149.925 -96.004 -102.784 -118.583 -42.484 -118.592 (in eV for the cell shown, following the order of the records).